This record from Alexandria via LeMat-Bulk describes a relaxed HoTm2ThSc5 crystal. The functional is PBE-GGA.

DFT total energy   -101.98 eV/cell
M_tot   0.0 μB/cell

Cell: 10.1526 10.1526 9.5927 Å, 90.00 90.00 149.34°
Closest atoms and distances in Å follow each position.
Fractional coordinates of all 18 atoms:
Ho: 0.2048 0.7952 0.5000  6 Sc 3.23-3.54, 2 Tm 3.38-3.43, 2 Th 3.60
Ho: 0.7952 0.2048 0.0000  6 Sc 3.23-3.54, 2 Tm 3.38-3.43, 2 Th 3.60
Tm: 0.1066 0.8934 0.7962  9 Sc 3.05-3.34
Tm: 0.1341 0.8659 0.1787  6 Sc 3.28-3.65, 1 Ho 3.38, 2 Th 3.50
Tm: 0.8659 0.1341 0.6787  6 Sc 3.28-3.65, 1 Ho 3.38, 2 Th 3.50
Tm: 0.8934 0.1066 0.2962  9 Sc 3.05-3.34
Th: 0.4066 0.5934 0.8975  5 Sc 2.92-3.23
Th: 0.5934 0.4066 0.3975  5 Sc 2.92-3.23
Sc: 0.0169 0.9831 0.4997  3 Tm 3.11-3.42, 2 Th 3.23, 2 Sc 3.31
Sc: 0.2619 0.7381 0.8246  1 Th 2.92, 1 Tm 3.05, 2 Ho 3.23, 2 Sc 3.25
Sc: 0.3093 0.6907 0.1994  4 Sc 3.24-3.36, 3 Tm 3.28-3.44, 3 Ho 3.31-3.54, 1 Th 3.47
Sc: 0.4007 0.5993 0.4960  3 Sc 3.13-3.36, 4 Tm 3.28-3.30
Sc: 0.4746 0.5254 0.2006  2 Th 3.00-3.20, 5 Sc 3.13-3.31, 2 Tm 3.25
Sc: 0.5254 0.4746 0.7006  2 Th 3.00-3.20, 5 Sc 3.13-3.31, 2 Tm 3.25
Sc: 0.5993 0.4007 0.9960  3 Sc 3.13-3.36, 4 Tm 3.28-3.30
Sc: 0.6907 0.3093 0.6994  4 Sc 3.24-3.36, 3 Tm 3.28-3.44, 3 Ho 3.31-3.54, 1 Th 3.47
Sc: 0.7381 0.2619 0.3246  1 Th 2.92, 1 Tm 3.05, 2 Ho 3.23, 2 Sc 3.25
Sc: 0.9831 0.0169 0.9997  3 Tm 3.11-3.42, 2 Th 3.23, 2 Sc 3.31